BaTaCr2 after structural relaxation, computed with GGA-PBEsol.

Unit cell a=9.3357 b=9.3357 c=9.3357 alpha=19.47 beta=19.47 gamma=19.47
Last column: nearest neighbours and their distance in Å.
Sites, in units of the cell vectors:
Ba  0.0000  0.0000  0.0000  6 Ba 3.16, 6 Cr 3.30
Ta  0.5000  0.5000  0.5000  6 Cr 2.58
Cr  0.2334  0.2334  0.2334  3 Ta 2.58
Cr  0.7666  0.7666  0.7666  3 Ta 2.58

Results
* total DFT energy (no corrections): -30.81 eV/f.u.
* formation energy from the elements: 1.092 eV/atom
* energy relative to the lowest polymorph listed for this composition: 0.191 eV per atom
* space group: R-3m